Sm3Y7Er2: optimized geometry, PBE.

Cell lengths 3.5308, 6.3642, 18.0402 Å; angles 75.49, 90.00, 90.00 degrees
Atoms (fractional coordinates):
Sm 0.5000 0.5000 0.0000
Sm 0.0000 0.1106 0.3415
Sm 0.0000 0.8894 0.6585
Y 0.5000 0.2456 0.5013
Y 0.5000 0.7544 0.4987
Y 0.0000 0.5612 0.1666
Y 0.0000 0.0000 0.0000
Y 0.0000 0.4388 0.8334
Y 0.5000 0.9433 0.8323
Y 0.5000 0.0567 0.1677
Er 0.5000 0.6166 0.3267
Er 0.5000 0.3834 0.6733

Summary:
The value obtained for the formation energy is 0.084 eV per atom. The calculated volume comes out at 32.70 A^3/atom. Its space-group type is P2/m.

---

Sm12Y6Er: optimized geometry, PBE.

Cell lengths 9.8682, 9.8682, 9.8682 Å; angles 112.32, 112.32, 112.32 degrees
Atoms (fractional coordinates):
Sm 0.8753 0.1247 0.5000
Sm 0.2619 0.9075 0.2619
Sm 0.2619 0.2619 0.9075
Sm 0.0925 0.7381 0.7381
Sm 0.7381 0.7381 0.0925
Sm 0.7381 0.0925 0.7381
Sm 0.5000 0.8753 0.1247
Sm 0.1247 0.5000 0.8753
Sm 0.1247 0.8753 0.5000
Sm 0.5000 0.1247 0.8753
Sm 0.8753 0.5000 0.1247
Sm 0.9075 0.2619 0.2619
Y 0.7281 0.4656 0.7281
Y 0.7281 0.7281 0.4656
Y 0.4656 0.7281 0.7281
Y 0.2719 0.2719 0.5344
Y 0.2719 0.5344 0.2719
Y 0.5344 0.2719 0.2719
Er 0.0000 0.0000 0.0000

Summary:
The value obtained for the formation energy is 0.338 eV per atom. The calculated volume comes out at 34.22 A^3/atom. Its space-group type is R-3m.

---

Sm2YEr12: optimized geometry, PBE.

Cell lengths 6.6072, 6.6072, 24.4715 Å; angles 83.25, 96.75, 65.20 degrees
Atoms (fractional coordinates):
Sm 0.4611 0.0389 0.2796
Sm 0.9610 0.5390 0.2808
Sm 0.0389 0.4611 0.7204
Sm 0.5390 0.9610 0.7192
Y 0.4998 0.0002 0.0000
Y 0.0002 0.4998 0.0000
Er 0.6063 0.3939 0.8083
Er 0.1061 0.8937 0.8083
Er 0.6486 0.8514 0.8645
Er 0.4514 0.5504 0.9336
Er 0.9985 0.0022 0.3299
Er 0.0486 0.9496 0.0664
Er 0.6644 0.3320 0.5552
Er 0.4978 0.5015 0.3299
Er 0.1492 0.3508 0.8657
Er 0.8514 0.6486 0.1355
Er 0.1771 0.3229 0.5722
Er 0.8356 0.1680 0.4448
Er 0.0022 0.9985 0.6701
Er 0.3229 0.1771 0.4278
Er 0.3508 0.1492 0.1343
Er 0.8181 0.6819 0.4263
Er 0.6819 0.8181 0.5737
Er 0.8937 0.1061 0.1917
Er 0.1680 0.8356 0.5552
Er 0.5015 0.4978 0.6701
Er 0.9496 0.0486 0.9336
Er 0.3939 0.6063 0.1917
Er 0.3320 0.6644 0.4448
Er 0.5504 0.4514 0.0664

Summary:
The value obtained for the formation energy is 0.106 eV per atom. The calculated volume comes out at 31.55 A^3/atom. Its space-group type is C2/m.

---

Sm6Y2Er: optimized geometry, PBE.

Cell lengths 3.6621, 9.9503, 9.9503 Å; angles 56.03, 90.00, 90.00 degrees
Atoms (fractional coordinates):
Sm 0.0000 0.5121 0.1592
Sm 0.0000 0.8408 0.4879
Sm 0.0000 0.4879 0.8408
Sm 0.5000 0.6856 0.3144
Sm 0.0000 0.1592 0.5121
Sm 0.5000 0.3144 0.6856
Y 0.5000 0.1780 0.1780
Y 0.5000 0.8220 0.8220
Er 0.0000 0.0000 0.0000

Summary:
The value obtained for the formation energy is 0.128 eV per atom. The calculated volume comes out at 33.41 A^3/atom. Its space-group type is Cmmm.

---

Sm2Y3Er2: optimized geometry, PBE.

Cell lengths 3.5051, 8.5643, 8.9337 Å; angles 118.67, 101.31, 90.00 degrees
Atoms (fractional coordinates):
Sm 0.5658 0.9120 0.1317
Sm 0.4342 0.0880 0.8683
Y 0.0000 0.5000 0.0000
Y 0.2119 0.7986 0.4238
Y 0.7881 0.2014 0.5762
Er 0.8512 0.6697 0.7025
Er 0.1488 0.3303 0.2975

Summary:
The value obtained for the formation energy is 0.124 eV per atom. The calculated volume comes out at 32.76 A^3/atom. Its space-group type is C2/m.

---

Sm4Y3Er: optimized geometry, PBE.

Cell lengths 6.3300, 7.3274, 11.4659 Å; angles 90.00, 90.00, 90.00 degrees
Atoms (fractional coordinates):
Sm 0.1507 0.8743 0.0000
Sm 0.6481 0.1260 0.0000
Sm 0.9807 0.1263 0.2486
Sm 0.4807 0.8737 0.2514
Sm 0.1481 0.8740 0.5000
Sm 0.6507 0.1257 0.5000
Sm 0.4807 0.8737 0.7486
Sm 0.9807 0.1263 0.7514
Y 0.6465 0.6236 0.0000
Y 0.9811 0.6233 0.2498
Y 0.4811 0.3767 0.2502
Y 0.1465 0.3764 0.5000
Y 0.4811 0.3767 0.7498
Y 0.9811 0.6233 0.7502
Er 0.1464 0.3768 0.0000
Er 0.6464 0.6232 0.5000

Summary:
The value obtained for the formation energy is 0.018 eV per atom. The calculated volume comes out at 33.24 A^3/atom. Its space-group type is Pmn2_1.

---

Sm7Y3Er2: optimized geometry, PBE.

Cell lengths 6.5719, 6.5719, 11.7538 Å; angles 73.77, 73.77, 60.00 degrees
Atoms (fractional coordinates):
Sm 0.5000 0.5000 0.5000
Sm 0.0782 0.5875 0.7468
Sm 0.5875 0.5875 0.7468
Sm 0.5875 0.0782 0.7468
Sm 0.9218 0.4125 0.2532
Sm 0.4125 0.9218 0.2532
Sm 0.4125 0.4125 0.2532
Y 0.0000 0.0000 0.0000
Y 0.1512 0.1512 0.5465
Y 0.8488 0.8488 0.4535
Er 0.3341 0.3341 0.9976
Er 0.6659 0.6659 0.0024

Summary:
The value obtained for the formation energy is 0.274 eV per atom. The calculated volume comes out at 34.67 A^3/atom. Its space-group type is R-3m.

---

SmY2Er6: optimized geometry, PBE.

Cell lengths 5.0048, 10.5988, 10.5992 Å; angles 90.00, 90.00, 90.00 degrees
Atoms (fractional coordinates):
Sm 0.5000 0.5000 0.0000
Sm 0.0000 0.0000 0.5000
Y 0.0001 0.3327 0.8327
Y 0.4999 0.8328 0.6674
Y 0.5001 0.1672 0.3326
Y 0.9999 0.6673 0.1673
Er 0.0000 0.0003 0.1652
Er 0.9999 0.6653 0.5004
Er 0.9999 0.6674 0.8328
Er 0.5001 0.1674 0.6673
Er 0.5001 0.1652 0.9996
Er 0.5000 0.5003 0.3347
Er 0.0000 0.9997 0.8348
Er 0.0001 0.3347 0.4996
Er 0.0001 0.3326 0.1672
Er 0.4999 0.8326 0.3327
Er 0.4999 0.8348 0.0004
Er 0.5000 0.4997 0.6653

Summary:
The value obtained for the formation energy is 0.024 eV per atom. The calculated volume comes out at 31.23 A^3/atom. Its space-group type is P4_2/mnm.

---

Sm5Y2Er2: optimized geometry, PBE.

Cell lengths 11.8561, 6.7544, 10.0998 Å; angles 109.53, 125.94, 90.00 degrees
Atoms (fractional coordinates):
Sm 0.1907 0.6608 0.8989
Sm 0.8093 0.7619 0.1011
Sm 0.2082 0.1608 0.8989
Sm 0.7918 0.2619 0.1011
Sm 0.3750 0.0286 0.2877
Sm 0.6250 0.7409 0.7123
Sm 0.4128 0.5286 0.2877
Sm 0.5872 0.2409 0.7123
Sm 0.0097 0.6534 0.5000
Sm 0.9903 0.1534 0.5000
Y 0.1331 0.6787 0.2546
Y 0.8669 0.4241 0.7454
Y 0.6215 0.1787 0.2546
Y 0.3785 0.9241 0.7454
Er 0.0000 0.0411 0.0000
Er 0.5000 0.5411 0.0000
Er 0.2550 0.3465 0.5000
Er 0.7450 0.8465 0.5000

Summary:
The value obtained for the formation energy is 0.220 eV per atom. The calculated volume comes out at 33.13 A^3/atom. Its space-group type is Ima2.

---

Sm5Y2Er3: optimized geometry, PBE.

Cell lengths 9.9822, 9.9789, 11.2426 Å; angles 129.46, 129.47, 64.41 degrees
Atoms (fractional coordinates):
Sm 0.2693 0.5193 0.0387
Sm 0.7307 0.4807 0.9613
Sm 0.0190 0.7690 0.5380
Sm 0.5218 0.2718 0.5436
Sm 0.9810 0.2310 0.4620
Sm 0.4782 0.7282 0.4564
Sm 0.8779 0.6295 0.7569
Sm 0.1221 0.3705 0.2431
Sm 0.3791 0.1274 0.7569
Sm 0.6209 0.8726 0.2431
Y 0.7801 0.0294 0.7547
Y 0.2199 0.9706 0.2453
Y 0.4746 0.7253 0.7547
Y 0.5254 0.2747 0.2453
Er 0.2270 0.9770 0.9539
Er 0.7730 0.0230 0.0461
Er 0.7212 0.4702 0.2489
Er 0.2788 0.5298 0.7511
Er 0.0277 0.7786 0.2489
Er 0.9723 0.2214 0.7511

Summary:
The value obtained for the formation energy is 0.192 eV per atom. The calculated volume comes out at 33.34 A^3/atom. Its space-group type is C2/c.

---

Sm7Y16Er6: optimized geometry, PBE.

Cell lengths 11.2129, 11.2129, 11.2129 Å; angles 60.00, 60.00, 60.00 degrees
Atoms (fractional coordinates):
Sm 0.0000 0.0000 0.0000
Sm 0.5000 0.0000 0.5000
Sm 0.0000 0.5000 0.0000
Sm 0.0000 0.5000 0.5000
Sm 0.5000 0.0000 0.0000
Sm 0.0000 0.0000 0.5000
Sm 0.5000 0.5000 0.0000
Y 0.8730 0.8730 0.3810
Y 0.8730 0.8730 0.8730
Y 0.8730 0.3810 0.8730
Y 0.3810 0.8730 0.8730
Y 0.1270 0.1270 0.1270
Y 0.1270 0.1270 0.6190
Y 0.1270 0.6190 0.1270
Y 0.6190 0.1270 0.1270
Y 0.6487 0.6487 0.0540
Y 0.6487 0.6487 0.6487
Y 0.6487 0.0540 0.6487
Y 0.0540 0.6487 0.6487
Y 0.3513 0.3513 0.3513
Y 0.3513 0.3513 0.9460
Y 0.3513 0.9460 0.3513
Y 0.9460 0.3513 0.3513
Er 0.2604 0.7396 0.2604
Er 0.7396 0.2604 0.7396
Er 0.7396 0.2604 0.2604
Er 0.2604 0.7396 0.7396
Er 0.7396 0.7396 0.2604
Er 0.2604 0.2604 0.7396

Summary:
The value obtained for the formation energy is 0.262 eV per atom. The calculated volume comes out at 34.37 A^3/atom. Its space-group type is Fm-3m.

---

SmYErZn: optimized geometry, PBE.

Cell lengths 3.5705, 3.5705, 8.6921 Å; angles 90.00, 90.00, 90.00 degrees
Atoms (fractional coordinates):
Sm 0.0000 0.0000 0.0751
Y 0.5000 0.5000 0.7744
Er 0.5000 0.5000 0.3684
Zn 0.0000 0.0000 0.5668

Summary:
The value obtained for the formation energy is -0.167 eV per atom. The calculated volume comes out at 27.70 A^3/atom. Its space-group type is P4mm.